First-principles (PBE) data for an optimized crystal structure of CaTa2In, as listed in Alexandria.

Unit cell a=3.527 b=3.527 c=7.418 alpha=90.00 beta=90.00 gamma=90.00
Sites, in units of the cell vectors:
Ca  0.000  0.000  0.000
Ta  0.000  0.000  0.541
Ta  0.500  0.500  0.699
In  0.500  0.500  0.292

Output
ΔH_f (0 K) ... 168 meV per atom